1.
This record from Alexandria via LeMat-Bulk describes an optimized crystal structure of SbH2Rh2. The functional is PBE-GGA.

Values from the calculation:
Fermi-level density of states in states/eV per cell: 3.43
DFT total energy in eV per atom: -5.185

abc: 3.296 3.296 10.318
angles: 90.00 90.00 90.00
Fractional positions:
Sb1 0.000 0.000 0.000
Sb2 0.500 0.500 0.500
H1 0.000 0.500 0.250
H2 0.000 0.500 0.750
H3 0.500 0.000 0.250
H4 0.500 0.000 0.750
Rh1 0.000 0.000 0.351
Rh2 0.000 0.000 0.649
Rh3 0.500 0.500 0.149
Rh4 0.500 0.500 0.851



2.
This record from Alexandria via LeMat-Bulk describes an optimized crystal structure of Pm3Zn2Co. The functional is PBE-GGA.

Values from the calculation:
Excess energy over the best structure of this formula in the dataset in eV per formula unit: 0.00
Fermi-level density of states in states/eV per cell: 26.69
Calculated formation energy in kJ/mol of atoms: -22.0

abc: 12.196 4.528 10.407
angles: 90.00 90.00 90.00
Fractional positions:
Pm1 0.057 0.250 0.113
Pm2 0.108 0.750 0.562
Pm3 0.241 0.250 0.785
Pm4 0.259 0.750 0.285
Pm5 0.392 0.250 0.062
Pm6 0.443 0.750 0.613
Pm7 0.557 0.250 0.387
Pm8 0.608 0.750 0.938
Pm9 0.741 0.250 0.715
Pm10 0.759 0.750 0.215
Pm11 0.892 0.250 0.438
Pm12 0.943 0.750 0.887
Zn1 0.012 0.750 0.296
Zn2 0.209 0.750 0.986
Zn3 0.291 0.250 0.486
Zn4 0.488 0.250 0.796
Zn5 0.512 0.750 0.204
Zn6 0.709 0.750 0.514
Zn7 0.791 0.250 0.014
Zn8 0.988 0.250 0.704
Co1 0.114 0.250 0.363
Co2 0.386 0.750 0.863
Co3 0.614 0.250 0.137
Co4 0.886 0.750 0.637



3.
This record from Alexandria via LeMat-Bulk describes an optimized crystal structure of Sc4Hg. The functional is PBE-GGA.

Values from the calculation:
Excess energy over the best structure of this formula in the dataset in eV per formula unit: 1.92
Fermi-level density of states in states/eV per cell: 15.70
Calculated formation energy in kJ/mol of atoms: 26.0

abc: 3.928 3.928 16.362
angles: 90.00 90.00 90.00
Fractional positions:
Sc1 0.000 0.000 0.091
Sc2 0.000 0.000 0.909
Sc3 0.000 0.500 0.250
Sc4 0.000 0.500 0.750
Sc5 0.500 0.000 0.250
Sc6 0.500 0.000 0.750
Sc7 0.500 0.500 0.409
Sc8 0.500 0.500 0.591
Hg1 0.000 0.000 0.500
Hg2 0.500 0.500 0.000



4.
This record from Alexandria via LeMat-Bulk describes an optimized crystal structure of LaPm5Nd8. The functional is PBE-GGA.

Values from the calculation:
Fermi-level density of states in states/eV per cell: 20.63
Calculated formation energy in kJ/mol of atoms: 20.7

abc: 8.676 8.676 8.676
angles: 111.69 111.69 105.12
Fractional positions:
La1 0.000 0.000 0.000
Pm1 0.214 0.030 0.600
Pm2 0.386 0.786 0.817
Pm3 0.430 0.614 0.400
Pm4 0.750 0.250 0.500
Pm5 0.970 0.570 0.183
Nd1 0.076 0.314 0.398
Nd2 0.178 0.429 0.896
Nd3 0.322 0.924 0.238
Nd4 0.533 0.283 0.104
Nd5 0.571 0.467 0.750
Nd6 0.686 0.084 0.762
Nd7 0.717 0.822 0.250
Nd8 0.916 0.678 0.602



5.
This record from Alexandria via LeMat-Bulk describes an optimized crystal structure of SnPbI2. The functional is PBE-GGA.

Values from the calculation:
Excess energy over the best structure of this formula in the dataset in eV per formula unit: 0.05
Fermi-level density of states in states/eV per cell: 7.07
Formation energy from raw total energies in eV/f.u.: -0.3

abc: 8.976 8.976 7.474
angles: 90.00 90.00 90.00
Fractional positions:
Sn1 0.000 0.000 0.000
Sn2 0.000 0.500 0.250
Sn3 0.500 0.000 0.750
Sn4 0.500 0.500 0.500
Pb1 0.000 0.000 0.500
Pb2 0.000 0.500 0.750
Pb3 0.500 0.000 0.250
Pb4 0.500 0.500 0.000
I1 0.245 0.250 0.125
I2 0.250 0.745 0.375
I3 0.250 0.755 0.875
I4 0.255 0.250 0.625
I5 0.745 0.750 0.625
I6 0.750 0.245 0.875
I7 0.750 0.255 0.375
I8 0.755 0.750 0.125



6.
This record from Alexandria via LeMat-Bulk describes an optimized crystal structure of Ac2MgAl4Pt3. The functional is PBE-GGA.

Values from the calculation:
Fermi-level density of states in states/eV per cell: 7.82
Calculated formation energy in kJ/mol of atoms: -85.5

abc: 4.413 4.413 10.977
angles: 90.00 90.00 90.00
Fractional positions:
Ac1 0.000 0.500 0.241
Ac2 0.500 0.000 0.759
Mg1 0.000 0.000 0.500
Al1 0.000 0.000 0.000
Al2 0.000 0.500 0.640
Al3 0.500 0.000 0.360
Al4 0.500 0.500 0.000
Pt1 0.000 0.500 0.875
Pt2 0.500 0.000 0.125
Pt3 0.500 0.500 0.500



7.
This record from Alexandria via LeMat-Bulk describes an optimized crystal structure of RbZr3Ga. The functional is PBE-GGA.

Values from the calculation:
Excess energy over the best structure of this formula in the dataset in eV per formula unit: 5.65
Fermi-level density of states in states/eV per cell: 5.85
Calculated formation energy in kJ/mol of atoms: 192.8

abc: 5.029 5.029 5.029
angles: 90.00 90.00 90.00
Fractional positions:
Rb1 0.000 0.000 0.000
Zr1 0.000 0.000 0.500
Zr2 0.000 0.500 0.000
Zr3 0.500 0.000 0.000
Ga1 0.500 0.500 0.500



8.
This record from Alexandria via LeMat-Bulk describes an optimized crystal structure of CaHfTiHg2. The functional is PBE-GGA.

Values from the calculation:
Fermi-level density of states in states/eV per cell: 4.25
Calculated formation energy in kJ/mol of atoms: 125.2

abc: 5.243 5.243 4.951
angles: 90.00 90.00 90.00
Fractional positions:
Ca1 0.000 0.000 0.000
Hf1 0.500 0.500 0.500
Ti1 0.000 0.000 0.500
Hg1 0.000 0.500 0.000
Hg2 0.500 0.000 0.000



no.,magnetic moment (μB per atom)
1,0.000
2,0.000
3,0.001
4,0.000
5,0.000
6,0.000
7,0.380
8,0.551